1.
First-principles (PBE) data for a relaxed Nd13Dy3 crystal, as listed in Alexandria via LeMat-Bulk.

abc: 7.3800 11.8184 12.7779
angles: 90.00 90.00 90.00
With the nearest neighbours (Å) after each atom.
Space group Amm2 (No. 38)
One atom of each set of equivalent atoms:
Nd  0.0000  0.0000  0.0000  8 Nd 3.62-3.69, 4 Dy 3.66-3.69
Nd  0.0000  0.0000  0.5020  10 Nd 3.61-3.71, 2 Dy 3.70
Nd  0.0000  0.2470  0.6686  10 Nd 3.61-3.70, 2 Dy 3.62
Nd  0.2505  0.0000  0.2504  11 Nd 3.65-3.71, 1 Dy 3.70
Nd  0.2513  0.2474  0.9181  2 Dy 3.61, 10 Nd 3.62-3.71
Nd  0.5000  0.0000  0.5028  10 Nd 3.62-3.71, 2 Dy 3.69
Nd  0.5000  0.2484  0.6679  9 Nd 3.62-3.69, 3 Dy 3.63-3.67
Dy  0.2507  0.0000  0.7528  9 Nd 3.61-3.70, 3 Dy 3.65-3.70
Dy  0.5000  0.0000  0.9996  10 Nd 3.61-3.70, 2 Dy 3.65

Output
VASP energy (eV/atom): -4.705
Magnetization (μB per formula unit): 0.0
Distance to the lowest polymorph of the same formula (meV per atom): 18

2.
First-principles (PBE) data for a relaxed MgPb4 crystal, as listed in Alexandria via LeMat-Bulk.

abc: 12.0414 3.5904 8.7144
angles: 90.00 128.37 90.00
With the nearest neighbours (Å) after each atom.
Space group C2/m (No. 12)
One atom of each set of equivalent atoms:
Mg  0.0000  0.0000  0.0000  8 Pb 3.24-3.30, 2 Mg 3.59
Pb  0.0893  0.5000  0.3787  2 Mg 3.30, 9 Pb 3.48-3.59
Pb  0.2180  0.0000  0.8080  2 Mg 3.24, 9 Pb 3.44-3.59

Output
VASP energy (eV/atom): -3.293
Magnetization (μB per formula unit): 0.0
Distance to the lowest polymorph of the same formula (meV per atom): 0

Q: Which calculated formation energy values were calculated for the entries above? A: 0.031, -0.007, in eV/atom.
Q: Which density of states at the Fermi level values were calculated for the entries above? A: 55.46, 4.01, in states/eV/cell.